Entry 1:
A relaxed structure of Ba6Cd5Pd, computed with PBE.

ΔE_f in kJ/mol of atoms: -31.4
Density in g/cm³: 5.59
V in Å³/cell: 443
DOS(E_F) in states/eV/cell: 11.5

a b c (Å): 5.9367 8.3743 10.2856
angles (deg): 65.97 73.20 90.00
Sites, in units of the cell vectors:
Pd1 0.0000 0.0000 0.0000
Cd1 0.3185 0.8194 0.3612
Ba1 0.1592 0.3995 0.6826
Cd2 0.6686 0.6673 0.6645
Ba2 0.8408 0.6005 0.3174
Ba3 0.1592 0.9178 0.6824
Cd3 0.0000 0.5000 0.0000
Ba4 0.5000 0.2358 0.0001
Cd4 0.3314 0.3327 0.3355
Ba5 0.8408 0.0822 0.3176
Ba6 0.5000 0.7642 0.9999
Cd5 0.6815 0.1806 0.6388

=====

Entry 2:
A relaxed structure of TbGe2Pt4, computed with PBE.

ΔE_f in kJ/mol of atoms: -70.2
Density in g/cm³: 14.12
V in Å³/cell: 128
ΔE to the lowest computed polymorph in eV/atom: 0.003
DOS(E_F) in states/eV/cell: 2.8

a b c (Å): 4.2738 4.2738 8.4297
angles (deg): 75.32 75.32 60.00
Sites, in units of the cell vectors:
Ge1 0.7578 0.7578 0.7267
Ge2 0.2422 0.2422 0.2733
Pt1 0.1369 0.1369 0.5894
Tb1 0.0000 0.0000 0.0000
Pt2 0.5901 0.5901 0.2296
Pt3 0.8631 0.8631 0.4106
Pt4 0.4099 0.4099 0.7704

=====

Entry 3:
A relaxed structure of AgPtAu5, computed with PBE.

ΔE_f in kJ/mol of atoms: 8.7
Density in g/cm³: 15.87
V in Å³/cell: 270
DOS(E_F) in states/eV/cell: 4.6

a b c (Å): 5.6345 7.1662 7.1662
angles (deg): 98.47 102.70 102.70
Sites, in units of the cell vectors:
Ag1 0.5000 0.0000 0.0000
Au1 0.3738 0.4028 0.1241
Au2 0.7500 0.2367 0.7633
Au3 0.2500 0.7633 0.2367
Au4 0.1271 0.6043 0.8485
Au5 0.8729 0.3957 0.1515
Au6 0.3729 0.1515 0.3957
Ag2 0.0000 0.0000 0.0000
Au7 0.1262 0.8759 0.5972
Au8 0.6271 0.8485 0.6043
Au9 0.8738 0.1241 0.4028
Pt1 0.2500 0.4987 0.5013
Pt2 0.7500 0.5013 0.4987
Au10 0.6262 0.5972 0.8759

=====

Entry 4:
A relaxed structure of Rb2HfMnTe4, computed with PBE.

Density in g/cm³: 4.53
V in Å³/cell: 671
Uncorrected formation energy in eV/atom: -0.79

a b c (Å): 6.5636 8.2557 13.8945
angles (deg): 84.61 76.34 66.58
Sites, in units of the cell vectors:
Te1 0.9101 0.7935 0.8867
Te2 0.4536 0.7065 0.3867
Te3 0.5903 0.2065 0.1133
Rb1 0.8194 0.0000 0.3613
Hf1 0.0000 0.0000 0.0000
Te4 0.2964 0.7935 0.1133
Te5 0.2033 0.2065 0.8867
Te6 0.1597 0.2935 0.3867
Hf2 0.7500 0.5000 0.5000
Rb2 0.1806 0.0000 0.6387
Rb3 0.5694 0.5000 0.8613
Mn1 0.5000 0.0000 0.0000
Te7 0.5467 0.2935 0.6133
Mn2 0.2500 0.5000 0.5000
Te8 0.8399 0.7065 0.6133
Rb4 0.9306 0.5000 0.1387

=====

Entry 5:
A relaxed structure of TlBi2Br8, computed with PBE.

Density in g/cm³: 5.56
V in Å³/cell: 377
DOS(E_F) in states/eV/cell: 1.3
Uncorrected formation energy in eV/atom: -0.61

a b c (Å): 5.6987 8.5342 8.5342
angles (deg): 114.71 90.13 90.13
Sites, in units of the cell vectors:
Br1 0.9978 0.6786 0.9431
Bi1 0.0000 0.2942 0.7058
Br2 0.7463 0.4992 0.4992
Br3 0.0022 0.0569 0.3214
Br4 0.5000 0.7523 0.2477
Br5 0.5000 0.2477 0.7523
Br6 0.0022 0.3214 0.0569
Br7 0.9978 0.9431 0.6786
Tl1 0.5000 0.0000 0.0000
Bi2 0.0000 0.7058 0.2942
Br8 0.2537 0.5008 0.5008

=====

Entry 6:
A relaxed structure of Sr2YAs, computed with PBE.

ΔE_f in kJ/mol of atoms: -20.0
Density in g/cm³: 4.54
V in Å³/cell: 124
DOS(E_F) in states/eV/cell: 4.3

a b c (Å): 8.6326 4.9296 5.1014
angles (deg): 89.99 53.80 124.75
Sites, in units of the cell vectors:
Y1 0.0000 0.5000 0.5000
Sr1 0.0000 0.0000 0.0000
As1 0.5000 0.5000 0.0000
Sr2 0.5000 0.0000 0.5000

=====

Entry 7:
A relaxed structure of PuZrAg2O6, computed with PBE.

Density in g/cm³: 7.42
V in Å³/cell: 145
DOS(E_F) in states/eV/cell: 3.1
Uncorrected formation energy in eV/atom: -1.90

a b c (Å): 4.1941 5.8736 5.8736
angles (deg): 90.00 90.00 90.00
Sites, in units of the cell vectors:
Ag1 0.1442 0.5000 0.0000
O1 0.1450 0.5000 0.5000
Ag2 0.1442 0.0000 0.5000
Zr1 0.6451 0.5000 0.5000
O2 0.6447 0.2449 0.7551
O3 0.1447 0.0000 0.0000
O4 0.6447 0.7551 0.2449
O5 0.6447 0.2449 0.2449
Pu1 0.6447 0.0000 0.0000
O6 0.6447 0.7551 0.7551

=====

Entry 8:
A relaxed structure of Pu2TlS4, computed with PBE.

Density in g/cm³: 7.48
V in Å³/cell: 365
DOS(E_F) in states/eV/cell: 33.2
Uncorrected formation energy in eV/atom: -1.29

a b c (Å): 4.0328 6.9806 13.5281
angles (deg): 90.00 90.00 106.79
Sites, in units of the cell vectors:
Tl1 0.4022 0.8044 0.2500
Pu1 0.1345 0.2690 0.4362
S1 0.2407 0.4815 0.8943
S2 0.7593 0.5185 0.1057
S3 0.0753 0.1507 0.2500
Pu2 0.8655 0.7310 0.9362
S4 0.5000 0.0000 0.0000
S5 0.7593 0.5185 0.3943
Pu3 0.8655 0.7310 0.5638
S6 0.5000 0.0000 0.5000
S7 0.2407 0.4815 0.6057
Pu4 0.1345 0.2690 0.0638
S8 0.9247 0.8493 0.7500
Tl2 0.5978 0.1956 0.7500